# 1
Here is a relaxed HgSe2S crystal from the Alexandria database. Energies are from PBE-GGA.

CIF file:
```
data_HgSe2S
_space_group_name_H-M_alt 'I -4 2 d'
_space_group_IT_number 122
_space_group_name_Hall 'I -4 2bw'
_cell_length_a 5.535
_cell_length_b 5.535
_cell_length_c 14.476
_cell_angle_alpha 90.00
_cell_angle_beta 90.00
_cell_angle_gamma 90.00
loop_
_atom_site_label
_atom_site_type_symbol
_atom_site_fract_x
_atom_site_fract_y
_atom_site_fract_z
_atom_site_occupancy
Hg1 Hg 0.000 0.000 0.000 1
Se1 Se 0.193 0.250 0.625 1
S1 S 0.000 0.000 0.500 1
```

Properties
E above lowest polymorph, meV per atom: 0
Density of states at the Fermi level, states/eV/f.u.: 0.1
M_tot, μB/cell: 0.00
Volume, Å³/cell: 443.53
Formation energy (no corrections), meV per atom: 233

***

# 2
Here is a relaxed HgSe2S crystal from the Alexandria database. Energies are from PBE-GGA.

CIF file:
```
data_HgSe2S
_space_group_name_H-M_alt 'R -3 m'
_space_group_IT_number 166
_space_group_name_Hall '-R 3 2"'
_cell_length_a 3.5861
_cell_length_b 3.5861
_cell_length_c 30.5647
_cell_angle_alpha 90.00
_cell_angle_beta 90.00
_cell_angle_gamma 120.00
loop_
_atom_site_label
_atom_site_type_symbol
_atom_site_fract_x
_atom_site_fract_y
_atom_site_fract_z
_atom_site_occupancy
Hg1 Hg 0.0000 0.0000 0.0000 1
Se1 Se 0.0000 0.0000 0.1173 1
S1 S 0.0000 0.0000 0.5000 1
```

Properties
E above lowest polymorph, meV per atom: 64
Density of states at the Fermi level, states/eV/f.u.: 0.0
M_tot, μB/cell: 0.00
Volume, Å³/cell: 340.40
Formation energy (no corrections), meV per atom: 297

***

# 3
Here is a relaxed Sm6Hg3SeS2 crystal from the Alexandria database. Energies are from PBE-GGA.

CIF file:
```
data_Sm6Hg3SeS2
_space_group_name_H-M_alt 'C 1 2/m 1'
_space_group_IT_number 12
_cell_length_a 19.156
_cell_length_b 4.023
_cell_length_c 8.949
_cell_angle_alpha 90.00
_cell_angle_beta 110.99
_cell_angle_gamma 90.00
loop_
_space_group_symop_operation_xyz
'x,y,z'
'-x,-y,-z'
'-x,y,-z'
'x,-y,z'
'x+1/2,y+1/2,z'
'-x+1/2,-y+1/2,-z'
'-x+1/2,y+1/2,-z'
'x+1/2,-y+1/2,z'
loop_
_atom_site_label
_atom_site_type_symbol
_atom_site_fract_x
_atom_site_fract_y
_atom_site_fract_z
_atom_site_occupancy
Sm1 Sm 0.011 0.000 0.241 1
Sm2 Sm 0.163 0.500 0.103 1
Sm3 Sm 0.174 0.500 0.560 1
Hg1 Hg 0.000 0.500 0.500 1
Hg2 Hg 0.163 0.000 0.826 1
Se1 Se 0.000 0.500 0.000 1
S1 S 0.168 0.000 0.331 1
```

Properties
Density of states at the Fermi level, states/eV/f.u.: 6.2
M_tot, μB/cell: 0.00
Volume, Å³/cell: 643.89
Formation energy (no corrections), meV per atom: -1182

***

# 4
Here is a relaxed Sm6HgSe2S3 crystal from the Alexandria database. Energies are from PBE-GGA.

CIF file:
```
data_Sm6HgSe2S3
_space_group_name_H-M_alt 'C 1 2/m 1'
_space_group_IT_number 12
_cell_length_a 18.035
_cell_length_b 4.062
_cell_length_c 8.392
_cell_angle_alpha 90.00
_cell_angle_beta 103.45
_cell_angle_gamma 90.00
loop_
_space_group_symop_operation_xyz
'x,y,z'
'-x,-y,-z'
'-x,y,-z'
'x,-y,z'
'x+1/2,y+1/2,z'
'-x+1/2,-y+1/2,-z'
'-x+1/2,y+1/2,-z'
'x+1/2,-y+1/2,z'
loop_
_atom_site_label
_atom_site_type_symbol
_atom_site_fract_x
_atom_site_fract_y
_atom_site_fract_z
_atom_site_occupancy
Sm1 Sm 0.002 0.000 0.231 1
Sm2 Sm 0.161 0.500 0.093 1
Sm3 Sm 0.171 0.500 0.575 1
Hg1 Hg 0.000 0.500 0.500 1
Se1 Se 0.169 0.000 0.837 1
S1 S 0.000 0.500 0.000 1
S2 S 0.168 0.000 0.333 1
```

Properties
Density of states at the Fermi level, states/eV/f.u.: 6.8
M_tot, μB/cell: 0.00
Volume, Å³/cell: 597.89
Formation energy (no corrections), meV per atom: -1673

***

# 5
Here is a relaxed Sm4HgSeS2 crystal from the Alexandria database. Energies are from PBE-GGA.

CIF file:
```
data_Sm4HgSeS2
_space_group_name_H-M_alt 'P 1 2/m 1'
_space_group_IT_number 10
_cell_length_a 7.192
_cell_length_b 4.075
_cell_length_c 7.258
_cell_angle_alpha 90.00
_cell_angle_beta 108.64
_cell_angle_gamma 90.00
loop_
_space_group_symop_operation_xyz
'x,y,z'
'-x,-y,-z'
'-x,y,-z'
'x,-y,z'
loop_
_atom_site_label
_atom_site_type_symbol
_atom_site_fract_x
_atom_site_fract_y
_atom_site_fract_z
_atom_site_occupancy
Sm1 Sm 0.236 0.000 0.229 1
Sm2 Sm 0.252 0.500 0.768 1
Hg1 Hg 0.500 0.500 0.500 1
Se1 Se 0.000 0.000 0.500 1
S1 S 0.000 0.500 0.000 1
S2 S 0.500 0.000 0.000 1
```

Properties
Density of states at the Fermi level, states/eV/f.u.: 3.1
M_tot, μB/cell: 0.00
Volume, Å³/cell: 201.52
Formation energy (no corrections), meV per atom: -1550

***

# 6
Here is a relaxed TaHg2SeS crystal from the Alexandria database. Energies are from PBE-GGA.

CIF file:
```
data_TaHg2SeS
_space_group_name_H-M_alt 'P 4/m m m'
_space_group_IT_number 123
_space_group_name_Hall '-P 4 2'
_cell_length_a 5.158
_cell_length_b 5.158
_cell_length_c 4.592
_cell_angle_alpha 90.00
_cell_angle_beta 90.00
_cell_angle_gamma 90.00
loop_
_atom_site_label
_atom_site_type_symbol
_atom_site_fract_x
_atom_site_fract_y
_atom_site_fract_z
_atom_site_occupancy
Ta1 Ta 0.000 0.000 0.000 1
Hg1 Hg 0.000 0.500 0.500 1
Se1 Se 0.500 0.500 0.000 1
S1 S 0.000 0.000 0.500 1
```

Properties
Density of states at the Fermi level, states/eV/f.u.: 4.1
M_tot, μB/cell: 0.00
Volume, Å³/cell: 122.16
Formation energy (no corrections), meV per atom: 715

***

# 7
Here is a relaxed Tb4HgSeS2 crystal from the Alexandria database. Energies are from PBE-GGA.

CIF file:
```
data_Tb4HgSeS2
_space_group_name_H-M_alt 'P 1 2/m 1'
_space_group_IT_number 10
_cell_length_a 7.064
_cell_length_b 3.976
_cell_length_c 7.154
_cell_angle_alpha 90.00
_cell_angle_beta 108.39
_cell_angle_gamma 90.00
loop_
_space_group_symop_operation_xyz
'x,y,z'
'-x,-y,-z'
'-x,y,-z'
'x,-y,z'
loop_
_atom_site_label
_atom_site_type_symbol
_atom_site_fract_x
_atom_site_fract_y
_atom_site_fract_z
_atom_site_occupancy
Tb1 Tb 0.237 0.000 0.229 1
Tb2 Tb 0.253 0.500 0.769 1
Hg1 Hg 0.500 0.500 0.500 1
Se1 Se 0.000 0.000 0.500 1
S1 S 0.000 0.500 0.000 1
S2 S 0.500 0.000 0.000 1
```

Properties
Density of states at the Fermi level, states/eV/f.u.: 3.3
M_tot, μB/cell: 0.00
Volume, Å³/cell: 190.65
Formation energy (no corrections), meV per atom: -1527

***

# 8
Here is a relaxed Tb4HgSe2S crystal from the Alexandria database. Energies are from PBE-GGA.

CIF file:
```
data_Tb4HgSe2S
_space_group_name_H-M_alt 'P 1 2/m 1'
_space_group_IT_number 10
_cell_length_a 7.200
_cell_length_b 4.024
_cell_length_c 7.206
_cell_angle_alpha 90.00
_cell_angle_beta 108.48
_cell_angle_gamma 90.00
loop_
_space_group_symop_operation_xyz
'x,y,z'
'-x,-y,-z'
'-x,y,-z'
'x,-y,z'
loop_
_atom_site_label
_atom_site_type_symbol
_atom_site_fract_x
_atom_site_fract_y
_atom_site_fract_z
_atom_site_occupancy
Tb1 Tb 0.240 0.000 0.238 1
Tb2 Tb 0.252 0.500 0.759 1
Hg1 Hg 0.000 0.000 0.500 1
Se1 Se 0.500 0.000 0.000 1
Se2 Se 0.500 0.500 0.500 1
S1 S 0.000 0.500 0.000 1
```

Properties
Density of states at the Fermi level, states/eV/f.u.: 3.0
M_tot, μB/cell: 0.00
Volume, Å³/cell: 198.00
Formation energy (no corrections), meV per atom: -1473

***

# 9
Here is a relaxed Tb6Hg3SeS2 crystal from the Alexandria database. Energies are from PBE-GGA.

CIF file:
```
data_Tb6Hg3SeS2
_space_group_name_H-M_alt 'C 1 2/m 1'
_space_group_IT_number 12
_cell_length_a 6.816
_cell_length_b 11.800
_cell_length_c 7.904
_cell_angle_alpha 90.00
_cell_angle_beta 106.70
_cell_angle_gamma 90.00
loop_
_space_group_symop_operation_xyz
'x,y,z'
'-x,-y,-z'
'-x,y,-z'
'x,-y,z'
'x+1/2,y+1/2,z'
'-x+1/2,-y+1/2,-z'
'-x+1/2,y+1/2,-z'
'x+1/2,-y+1/2,z'
loop_
_atom_site_label
_atom_site_type_symbol
_atom_site_fract_x
_atom_site_fract_y
_atom_site_fract_z
_atom_site_occupancy
Tb1 Tb 0.229 0.000 0.214 1
Tb2 Tb 0.244 0.329 0.220 1
Hg1 Hg 0.000 0.000 0.500 1
Hg2 Hg 0.000 0.340 0.500 1
Se1 Se 0.000 0.500 0.000 1
S1 S 0.000 0.168 0.000 1
```

Properties
Density of states at the Fermi level, states/eV/f.u.: 5.6
M_tot, μB/cell: 0.00
Volume, Å³/cell: 608.92
Formation energy (no corrections), meV per atom: -1176

***

# 10
Here is a relaxed Tb4Hg2SeS crystal from the Alexandria database. Energies are from PBE-GGA.

CIF file:
```
data_Tb4Hg2SeS
_space_group_name_H-M_alt 'P 1 2/m 1'
_space_group_IT_number 10
_cell_length_a 6.863
_cell_length_b 3.948
_cell_length_c 7.911
_cell_angle_alpha 90.00
_cell_angle_beta 106.69
_cell_angle_gamma 90.00
loop_
_space_group_symop_operation_xyz
'x,y,z'
'-x,-y,-z'
'-x,y,-z'
'x,-y,z'
loop_
_atom_site_label
_atom_site_type_symbol
_atom_site_fract_x
_atom_site_fract_y
_atom_site_fract_z
_atom_site_occupancy
Tb1 Tb 0.232 0.000 0.218 1
Tb2 Tb 0.252 0.500 0.776 1
Hg1 Hg 0.000 0.000 0.500 1
Hg2 Hg 0.500 0.500 0.500 1
Se1 Se 0.500 0.000 0.000 1
S1 S 0.000 0.500 0.000 1
```

Properties
Density of states at the Fermi level, states/eV/f.u.: 3.6
M_tot, μB/cell: 0.00
Volume, Å³/cell: 205.30
Formation energy (no corrections), meV per atom: -1157

***

# 11
Here is a relaxed Hg4Te2SeS crystal from the Alexandria database. Energies are from PBE-GGA.

CIF file:
```
data_Hg4Te2SeS
_space_group_name_H-M_alt 'I -4 2 m'
_space_group_IT_number 121
_space_group_name_Hall 'I -4 2'
_cell_length_a 6.397
_cell_length_b 6.397
_cell_length_c 12.762
_cell_angle_alpha 90.00
_cell_angle_beta 90.00
_cell_angle_gamma 90.00
loop_
_atom_site_label
_atom_site_type_symbol
_atom_site_fract_x
_atom_site_fract_y
_atom_site_fract_z
_atom_site_occupancy
Hg1 Hg 0.243 0.243 0.115 1
Te1 Te 0.000 0.500 0.250 1
Se1 Se 0.000 0.000 0.500 1
S1 S 0.000 0.000 0.000 1
```

Properties
Density of states at the Fermi level, states/eV/f.u.: 0.9
M_tot, μB/cell: 0.00
Volume, Å³/cell: 522.18
Formation energy (no corrections), meV per atom: -152

***

# 12
Here is a relaxed Hg2TeSe2S crystal from the Alexandria database. Energies are from PBE-GGA.

CIF file:
```
data_Hg2TeSe2S
_space_group_name_H-M_alt 'C m c 21'
_space_group_IT_number 36
_cell_length_a 16.751
_cell_length_b 5.782
_cell_length_c 7.525
_cell_angle_alpha 90.00
_cell_angle_beta 90.00
_cell_angle_gamma 90.00
loop_
_space_group_symop_operation_xyz
'x,y,z'
'-x,-y,z+1/2'
'-x,y,z'
'x,-y,z+1/2'
'x+1/2,y+1/2,z'
'-x+1/2,-y+1/2,z+1/2'
'-x+1/2,y+1/2,z'
'x+1/2,-y+1/2,z+1/2'
loop_
_atom_site_label
_atom_site_type_symbol
_atom_site_fract_x
_atom_site_fract_y
_atom_site_fract_z
_atom_site_occupancy
Hg1 Hg 0.135 0.036 0.000 1
Te1 Te 0.000 0.406 0.713 1
Se1 Se 0.167 0.291 0.727 1
S1 S 0.000 0.177 0.198 1
```

Properties
Density of states at the Fermi level, states/eV/f.u.: 0.5
M_tot, μB/cell: 0.00
Volume, Å³/cell: 728.88
Formation energy (no corrections), meV per atom: 5

***

Question: volume of number 12 (Hg2TeSe2S)?
Answer: 728.88 Å³/cell

***

Question: What is the density of states at the Fermi level in the eighth record?
Answer: 3.0 states/eV/f.u.

***

Question: Number 11 is which compound?
Answer: Hg4Te2SeS

***

Question: Number 2 is which compound?
Answer: HgSe2S